(1)
A plane-wave DFT calculation with GGA-PBE was carried out for a relaxed structure of SbSeF2.

Computed properties:
As for the crystal system: trigonal. Its energy relative to the elements, uncorrected is -843 meV per atom. Its total magnetization is 0.000 μB/cell. For the energy above the most stable polymorph in this dataset, the calculation gives 0.202 eV per atom. As for the space-group type: R-3m, No. 166.

Geometry as POSCAR:
```
SbSeF2
1.0
1.5768 0.9103 8.3802
-1.5768 0.9103 8.3802
0.0000 -1.8207 8.3802
Sb Se F
1 1 2
Direct
0.0000 0.0000 0.0000
0.5000 0.5000 0.5000
0.4205 0.4205 0.4205
0.5795 0.5795 0.5795
```

=====

(2)
A plane-wave DFT calculation with GGA-PBE was carried out for a relaxed structure of LiMnCdCl2.

Computed properties:
As for the crystal system: tetragonal. Its energy relative to the elements, uncorrected is -215 meV per atom. Its total magnetization is 5.282 μB/cell. As for the space-group type: P4/mmm, No. 123.

Geometry as POSCAR:
```
LiMnCdCl2
1.0
4.5786 0.0000 0.0000
0.0000 4.5786 0.0000
0.0000 0.0000 5.6194
Li Mn Cd Cl
1 1 1 2
Direct
0.0000 0.0000 0.0000
0.0000 0.0000 0.5000
0.5000 0.5000 0.5000
0.0000 0.5000 0.0000
0.5000 0.0000 0.0000
```

=====

(3)
A plane-wave DFT calculation with GGA-PBE was carried out for a relaxed structure of Ac5Pm2Y.

Computed properties:
As for the total energy: -4.5267 eV per atom. As for the crystal system: orthorhombic. Its total magnetization is 0.000 μB/cell. As for the space-group type: Pbam, No. 55.

Geometry as POSCAR:
```
Ac5Pm2Y
1.0
7.6390 0.0000 0.0000
0.0000 15.3254 0.0000
0.0000 0.0000 5.5288
Ac Pm Y
10 4 2
Direct
0.0000 0.0000 0.0000
0.0131 0.2541 0.0000
0.2391 0.6210 0.5000
0.2609 0.1210 0.5000
0.4869 0.7541 0.0000
0.5000 0.5000 0.0000
0.5131 0.2459 0.0000
0.7391 0.8790 0.5000
0.7609 0.3790 0.5000
0.9869 0.7459 0.0000
0.2420 0.8760 0.5000
0.2580 0.3760 0.5000
0.7420 0.6240 0.5000
0.7580 0.1240 0.5000
0.0000 0.5000 0.0000
0.5000 0.0000 0.0000
```